No. 1
First-principles (PBE) data for an optimized crystal structure of IrPbICl2, as listed in Alexandria.

extended XYZ file:
```
5
Lattice="5.348 0.000 0.000 0.000 6.638 0.000 0.000 0.000 5.348" Properties=species:S:1:pos:R:3 pbc="T T T"
Pb 0.000 0.000 0.000
Ir 2.674 3.319 2.674
I 0.000 3.319 0.000
Cl 2.674 0.000 0.000
Cl 0.000 0.000 2.674
```

## Properties
Space group: P4/mmm (123)
E_tot, eV per atom: -2.873

No. 2
First-principles (PBE) data for an optimized crystal structure of IrPdI2Cl, as listed in Alexandria.

extended XYZ file:
```
5
Lattice="5.372 0.000 0.000 0.000 5.123 0.000 0.000 0.000 5.372" Properties=species:S:1:pos:R:3 pbc="T T T"
I 2.686 0.000 0.000
Pd 0.000 0.000 0.000
Ir 0.000 2.562 0.000
I 0.000 0.000 2.686
Cl 2.686 2.562 2.686
```

## Properties
Space group: P4/mmm (123)
E_tot, eV per atom: -2.781

No. 3
First-principles (PBE) data for an optimized crystal structure of Pm6Ir2I3Cl, as listed in Alexandria.

extended XYZ file:
```
12
Lattice="-6.542 -1.370 3.245 4.137 -5.638 -2.512 4.403 1.824 6.815" Properties=species:S:1:pos:R:3 pbc="T T T"
Pm -1.710 -0.598 2.519
I 4.609 -4.035 1.828
Ir -2.985 -2.791 1.328
Cl 0.000 0.000 0.000
Pm 2.191 -2.157 0.416
I -2.612 -1.149 5.720
I 0.999 -2.592 3.774
Pm 2.852 -0.633 5.761
Pm -0.193 -3.026 7.133
Ir 0.580 -4.216 -0.594
Pm 3.708 -4.585 5.029
Pm -0.855 -4.550 1.788
```

## Properties
Space group: C2/m (12)
E_tot, eV per atom: -5.439

No. 4
First-principles (PBE) data for an optimized crystal structure of Pr4IrI2Cl, as listed in Alexandria.

extended XYZ file:
```
8
Lattice="4.216 0.000 0.000 0.000 7.573 0.135 0.000 -2.658 7.950" Properties=species:S:1:pos:R:3 pbc="T T T"
Pr 0.000 0.095 6.436
I 0.000 2.458 4.043
Pr 2.108 1.363 1.568
Cl 0.000 0.000 0.000
Pr 0.000 4.821 1.649
Pr 2.108 3.553 6.517
I 2.108 -1.329 3.975
Ir 2.108 3.787 0.068
```

## Properties
Space group: P2/m (10)
E_tot, eV per atom: -5.148

No. 5
First-principles (PBE) data for an optimized crystal structure of Pr6Ir2ICl3, as listed in Alexandria.

extended XYZ file:
```
12
Lattice="4.207 0.000 0.000 0.000 8.917 0.705 -2.103 -2.199 9.167" Properties=species:S:1:pos:R:3 pbc="T T T"
Ir 0.000 2.198 3.383
Cl 2.103 0.031 6.595
Pr 0.000 2.515 6.271
Pr 2.103 0.310 3.479
Pr 0.000 6.407 6.393
Pr 2.103 4.202 3.601
Ir 2.103 4.520 6.488
I 2.103 0.000 0.000
Pr 2.103 4.240 9.270
Cl 0.000 6.687 3.276
Cl 2.103 4.458 0.352
Pr 0.000 2.477 0.601
```

## Properties
Space group: C2/m (12)
E_tot, eV per atom: -5.593

No. 6
First-principles (PBE) data for an optimized crystal structure of IrPtICl2, as listed in Alexandria.

extended XYZ file:
```
5
Lattice="4.538 0.000 0.000 0.000 5.584 0.000 0.000 0.000 4.538" Properties=species:S:1:pos:R:3 pbc="T T T"
Cl 2.269 0.000 0.000
I 2.269 2.792 2.269
Cl 0.000 0.000 2.269
Ir 0.000 0.000 0.000
Pt 0.000 2.792 0.000
```

## Properties
Space group: P4/mmm (123)
E_tot, eV per atom: -3.531

No. 7
First-principles (PBE) data for an optimized crystal structure of IrPt2ICl, as listed in Alexandria.

extended XYZ file:
```
5
Lattice="-4.695 -1.745 0.330 1.061 -3.511 -3.474 1.429 -3.160 3.629" Properties=species:S:1:pos:R:3 pbc="T T T"
Ir 0.530 -1.755 -1.737
I 0.000 0.000 0.000
Pt 0.715 -1.580 1.815
Pt -2.348 -0.872 0.165
Cl -1.103 -4.208 0.242
```

## Properties
Space group: P4/mmm (123)
E_tot, eV per atom: -3.298

No. 8
First-principles (PBE) data for an optimized crystal structure of Rb2IrI6Cl, as listed in Alexandria.

extended XYZ file:
```
10
Lattice="-6.675 -3.169 -4.506 5.079 -6.282 -3.106 -2.171 -7.970 0.510" Properties=species:S:1:pos:R:3 pbc="T T T"
I -1.248 -7.389 -5.951
Rb 1.055 -9.488 -3.201
I 2.515 -5.603 -3.411
Rb -4.822 -7.932 -3.901
Cl -0.798 -4.725 -3.806
Ir 0.000 0.000 0.000
I -4.110 -3.848 -4.201
I -0.348 -2.062 -1.661
I -2.283 -11.075 -5.452
I -1.484 -6.346 -1.650
```

## Properties
Space group: I4/mmm (139)
E_tot, eV per atom: -2.764

| no. | V (Å³/atom) | uncorrected formation energy (eV per atom) |
| --- | --- | --- |
| 1 | 37.979 | 0.69 |
| 2 | 29.572 | 1.02 |
| 3 | 31.682 | -1.05 |
| 4 | 31.921 | -1.03 |
| 5 | 29.198 | -1.14 |
| 6 | 22.995 | 0.50 |
| 7 | 25.459 | 1.57 |
| 8 | 41.729 | -0.57 |